Entry 1:
Here is a geometry-optimized Al2VRh structure from Alexandria via LeMat-Bulk. Energies are from GGA-PBE.

Its energy relative to the lowest polymorph listed for this composition is 574 meV/atom. The spin magnetization comes out at 0.0 Bohr magnetons per cell. Its total energy is -6.0214 eV/atom.

Unit cell a=6.8417 b=6.8417 c=5.3368 alpha=90.00 beta=90.00 gamma=90.00
Space group I-42d (No. 122)
Asymmetric unit:
Al 0.2302 0.2500 0.1250 x8
V 0.0000 0.0000 0.5000 x4
Rh 0.0000 0.0000 0.0000 x4



Entry 2:
Here is a geometry-optimized ReTcAu2 structure from Alexandria via LeMat-Bulk. Energies are from GGA-PBE.

Its energy relative to the lowest polymorph listed for this composition is 333 meV/atom. The spin magnetization comes out at 0.0 Bohr magnetons per cell. Its total energy is -6.8744 eV/atom.

Unit cell a=4.8249 b=2.8181 c=4.9968 alpha=90.00 beta=108.54 gamma=90.00
Space group P2/m (No. 10)
Asymmetric unit:
Re 0.0000 0.0000 0.0000 x1
Tc 0.5000 0.5000 0.0000 x1
Au 0.0000 0.5000 0.5000 x1
Au 0.5000 0.0000 0.5000 x1



Entry 3:
Here is a geometry-optimized Ga5Hg12Bi3 structure from Alexandria via LeMat-Bulk. Energies are from GGA-PBE.

The spin magnetization comes out at 0.0 Bohr magnetons per cell. Its total energy is -1.3830 eV/atom.

Unit cell a=16.9262 b=16.9262 c=16.9262 alpha=90.00 beta=90.00 gamma=90.00
Space group Ia-3d (No. 230)
Asymmetric unit:
Ga 0.0000 0.0000 0.0000 x16
Ga 0.0000 0.2500 0.3750 x24
Hg 0.0235 0.0698 0.6500 x96
Bi 0.0000 0.2500 0.1250 x24



Entry 4:
Here is a geometry-optimized Tb4Tm15In structure from Alexandria via LeMat-Bulk. Energies are from GGA-PBE.

The spin magnetization comes out at 0.0 Bohr magnetons per cell. Its total energy is -4.4448 eV/atom.

Unit cell a=4.9087 b=4.9087 c=24.7837 alpha=90.00 beta=90.00 gamma=90.00
Space group P4/mmm (No. 123)
Asymmetric unit:
Tb 0.0000 0.0000 0.1012 x2
Tb 0.0000 0.0000 0.3021 x2
Tm 0.0000 0.5000 0.0000 x2
Tm 0.0000 0.5000 0.2020 x4
Tm 0.0000 0.5000 0.4033 x4
Tm 0.5000 0.5000 0.1014 x2
Tm 0.5000 0.5000 0.3051 x2
Tm 0.5000 0.5000 0.5000 x1
In 0.0000 0.0000 0.5000 x1



Entry 5:
Here is a geometry-optimized K2ScInP structure from Alexandria via LeMat-Bulk. Energies are from GGA-PBE.

The spin magnetization comes out at 0.0 Bohr magnetons per cell. Its total energy is -3.0394 eV/atom.

Unit cell a=7.4972 b=7.4972 c=4.9021 alpha=90.00 beta=90.00 gamma=90.00
Space group P4/mmm (No. 123)
Asymmetric unit:
K 0.0000 0.5000 0.0000 x2
Sc 0.0000 0.0000 0.0000 x1
In 0.5000 0.5000 0.5000 x1
P 0.0000 0.0000 0.5000 x1



Entry 6:
Here is a geometry-optimized Hf4Sc9In11 structure from Alexandria via LeMat-Bulk. Energies are from GGA-PBE.

The spin magnetization comes out at 8.3 Bohr magnetons per cell. Its total energy is -5.5708 eV/atom.

Unit cell a=18.0096 b=18.9571 c=3.1469 alpha=90.00 beta=90.00 gamma=90.00
Space group Cmmm (No. 65)
Asymmetric unit:
Hf 0.1406 0.0806 0.0000 x8
Sc 0.0000 0.0000 0.0000 x2
Sc 0.1194 0.4124 0.0000 x8
Sc 0.1237 0.2427 0.0000 x8
In 0.0000 0.1452 0.5000 x4
In 0.0000 0.3241 0.5000 x4
In 0.0000 0.5000 0.5000 x2
In 0.2377 0.5000 0.5000 x4
In 0.2440 0.3315 0.5000 x8



Entry 7:
Here is a geometry-optimized SbW4Au structure from Alexandria via LeMat-Bulk. Energies are from GGA-PBE.

The value obtained for the formation energy without anion corrections is 0.748 eV/atom. The spin magnetization comes out at 0.0 Bohr magnetons per cell. Its total energy is -9.1209 eV/atom.

Unit cell a=7.5944 b=7.5944 c=7.5944 alpha=90.00 beta=90.00 gamma=90.00
Space group F-43m (No. 216)
Asymmetric unit:
Sb 0.0000 0.0000 0.0000 x4
W 0.1228 0.1228 0.6228 x16
Au 0.2500 0.2500 0.2500 x4



Entry 8:
Here is a geometry-optimized Hf2SnHg structure from Alexandria via LeMat-Bulk. Energies are from GGA-PBE.

The spin magnetization comes out at 0.0 Bohr magnetons per cell. Its total energy is -5.9570 eV/atom.

Unit cell a=3.8436 b=3.8436 c=22.5079 alpha=90.00 beta=90.00 gamma=120.00
Space group R-3m (No. 166, hexagonal axes)
Asymmetric unit:
Hf 0.0000 0.0000 0.2469 x6
Sn 0.0000 0.0000 0.5000 x3
Hg 0.0000 0.0000 0.0000 x3



Entry 9:
Here is a geometry-optimized TbErBi structure from Alexandria via LeMat-Bulk. Energies are from GGA-PBE.

The spin magnetization comes out at 0.0 Bohr magnetons per cell. Its total energy is -4.2729 eV/atom.

Unit cell a=13.1825 b=3.4415 c=10.8964 alpha=90.00 beta=105.46 gamma=90.00
Space group C2/m (No. 12)
Asymmetric unit:
Tb 0.1688 0.0000 0.3656 x4
Er 0.0956 0.0000 0.6504 x4
Bi 0.0100 0.5000 0.8493 x4



Entry 10:
Here is a geometry-optimized GeAsOF2 structure from Alexandria via LeMat-Bulk. Energies are from GGA-PBE.

The value obtained for the formation energy without anion corrections is -0.767 eV/atom. Its energy relative to the lowest polymorph listed for this composition is 75 meV/atom. The spin magnetization comes out at 1.3 Bohr magnetons per cell. Its total energy is -4.3605 eV/atom.

Unit cell a=4.3916 b=4.3916 c=3.7180 alpha=90.00 beta=90.00 gamma=90.00
Space group P4/mmm (No. 123)
Asymmetric unit:
Ge 0.0000 0.0000 0.0000 x1
As 0.5000 0.5000 0.5000 x1
O 0.0000 0.0000 0.5000 x1
F 0.0000 0.5000 0.0000 x2



Entry 11:
Here is a geometry-optimized BaNd4Te5 structure from Alexandria via LeMat-Bulk. Energies are from GGA-PBE.

The value obtained for the formation energy without anion corrections is -1.476 eV/atom. The spin magnetization comes out at 0.0 Bohr magnetons per cell. Its total energy is -5.1461 eV/atom.

Unit cell a=15.3346 b=4.5482 c=11.2541 alpha=90.00 beta=119.70 gamma=90.00
Space group C2/m (No. 12)
Asymmetric unit:
Ba 0.0000 0.0000 0.0000 x2
Nd 0.0918 0.5000 0.4007 x4
Nd 0.1982 0.0000 0.7816 x4
Te 0.0000 0.0000 0.5000 x2
Te 0.1142 0.5000 0.8971 x4
Te 0.2022 0.0000 0.3161 x4



Entry 12:
Here is a geometry-optimized PuFe2Ni5 structure from Alexandria via LeMat-Bulk. Energies are from GGA-PBE.

The spin magnetization comes out at 3.6 Bohr magnetons per cell. Its total energy is -7.4964 eV/atom.

Unit cell a=3.5364 b=7.0209 c=8.5380 alpha=90.00 beta=90.00 gamma=90.00
Space group Immm (No. 71)
Asymmetric unit:
Pu 0.0000 0.0000 0.0000 x2
Fe 0.0000 0.5000 0.2754 x4
Ni 0.0000 0.1783 0.3507 x8
Ni 0.0000 0.5000 0.0000 x2